Entry 1:
Density functional theory data (PBE-GGA) for an optimized crystal structure of Li2TlRh.

```
Li2TlRh
1.0
4.903 -0.015 0.000
1.688 4.603 0.000
-3.296 -2.294 2.813
Li Tl Rh
2 1 1
direct
0.500 0.500 0.000 Li
0.000 0.000 0.000 Li
0.750 0.250 0.500 Tl
0.250 0.750 0.500 Rh
```

Computed properties:
Fermi-level density of states: 1.42 states/eV/cell
Symmetry: I4/mmm (139)
ΔE_f: -0.20 eV per atom



Entry 2:
Density functional theory data (PBE-GGA) for an optimized crystal structure of Sc3InPb.

```
Sc3InPb
1.0
5.377 0.000 0.000
0.000 5.377 0.000
0.000 0.000 5.377
Pb Sc In
1 3 1
direct
0.000 0.000 0.000 Pb
0.000 0.000 0.500 Sc
0.500 0.000 0.000 Sc
0.000 0.500 0.000 Sc
0.500 0.500 0.500 In
```

Computed properties:
Fermi-level density of states: 0.62 states/eV/cell
Symmetry: Pm-3m (221)
ΔE_f: 0.28 eV per atom



For reference, magnetic moment by record: 0.000 0.000 μB per atom.
For reference, total energy by record: -3.59 -4.81 eV per atom.
For reference, density by record: 8.4 4.9 Mg/m³.